1.
This record from Alexandria via LeMat-Bulk describes an optimized crystal structure of SrTi2Tl. The functional is PBE.

abc: 4.723 4.723 11.077
angles: 77.69 77.69 90.00
Sites, in units of the cell vectors:
Sr1 0.500 0.500 0.000
Sr2 0.250 0.750 0.500
Tl1 0.000 0.000 0.000
Tl2 0.750 0.250 0.500
Ti1 0.899 0.125 0.250
Ti2 0.851 0.625 0.250
Ti3 0.375 0.101 0.750
Ti4 0.875 0.149 0.750

Output
Offset from the most stable computed form in eV per formula unit: 0.000
Formation enthalpy at 0 K in eV per atom: 0.5716

***

2.
This record from Alexandria via LeMat-Bulk describes an optimized crystal structure of Rb3SmB2O6. The functional is PBE.

abc: 5.726 5.726 7.263
angles: 90.00 90.00 120.00
Sites, in units of the cell vectors:
Rb1 0.333 0.667 0.747
Rb2 0.667 0.333 0.253
Rb3 0.000 0.000 0.000
Sm1 0.000 0.000 0.500
B1 0.667 0.333 0.693
B2 0.333 0.667 0.307
O1 0.616 0.808 0.308
O2 0.192 0.384 0.308
O3 0.192 0.808 0.308
O4 0.808 0.616 0.692
O5 0.384 0.192 0.692
O6 0.808 0.192 0.692

Output
ΔE_f (raw) in eV per atom: -2.422

***

3.
This record from Alexandria via LeMat-Bulk describes an optimized crystal structure of LiSc2CdS. The functional is PBE.

abc: 4.916 4.916 4.381
angles: 90.00 90.00 90.00
Sites, in units of the cell vectors:
Sc1 0.000 0.500 0.000
Sc2 0.500 0.000 0.000
S1 0.000 0.000 0.000
Li1 0.000 0.000 0.500
Cd1 0.500 0.500 0.500

Output
ΔE_f (raw) in eV per atom: -0.720